Record 1
Below is Tm2ZnSb2 after structural relaxation, with properties calculated at the PBE-GGA level.

Cell lengths 9.3654, 9.3654, 6.3942 Å; angles 90.00, 90.00, 153.36 degrees
Closest atoms and distances in Å follow each position.
Positions (direct):
Sb  0.0890  0.9110  0.0163  1 Zn 2.83, 4 Tm 3.02-3.11
Sb  0.6742  0.3258  0.4852  2 Zn 2.73
Sb  0.9110  0.0890  0.5163  1 Zn 2.83, 4 Tm 3.02-3.11
Sb  0.3258  0.6742  0.9852  2 Zn 2.73
Tm  0.5084  0.4916  0.2809  4 Zn 3.08-3.20, 5 Sb 3.11-3.29, 2 Tm 3.21
Tm  0.2958  0.7042  0.4867  6 Sb 3.02-3.25
Tm  0.4916  0.5084  0.7809  4 Zn 3.08-3.20, 5 Sb 3.11-3.29, 2 Tm 3.21
Tm  0.7042  0.2958  0.9867  6 Sb 3.02-3.25
Zn  0.9123  0.0877  0.0734  3 Sb 2.73-2.83
Zn  0.0877  0.9123  0.5734  3 Sb 2.73-2.83

Summary:
- DFT total energy: -43.440 eV for the cell shown
- Symmetry: Cmc2_1
- Theoretical density: 8.542 Mg/m³

Record 2
Below is BaSn2GePt after structural relaxation, with properties calculated at the PBE-GGA level.

Cell lengths 6.4723, 6.4723, 6.4723 Å; angles 136.02, 136.02, 63.95 degrees
Closest atoms and distances in Å follow each position.
Positions (direct):
Ba  0.0019  0.0019  0.0000  4 Ge 3.56, 8 Sn 3.62-3.71, 5 Pt 3.76-3.95
Ge  0.5882  0.5882  0.0000  1 Pt 2.49
Pt  0.3615  0.3615  0.0000  1 Ge 2.49, 4 Sn 2.73
Sn  0.7464  0.2464  0.5000  2 Pt 2.73, 2 Ge 2.98
Sn  0.2464  0.7464  0.5000  2 Pt 2.73, 2 Ge 2.98

Summary:
- DFT total energy: -23.935 eV for the cell shown
- Symmetry: I4mm
- Theoretical density: 8.270 Mg/m³

Record 3
Below is Hf4Ta2Cu3C3 after structural relaxation, with properties calculated at the PBE-GGA level.

Cell lengths 5.5582, 5.5582, 13.8313 Å; angles 101.68, 101.68, 59.93 degrees
Closest atoms and distances in Å follow each position.
Positions (direct):
C  0.6660  0.1680  0.0000  2 Ta 2.17, 4 Hf 2.28-2.31
C  0.0000  0.5000  0.0000  2 Ta 2.14, 4 Hf 2.31
C  0.3340  0.8320  0.0000  2 Ta 2.17, 4 Hf 2.28-2.31
C  0.1680  0.6660  0.5000  2 Ta 2.17, 4 Hf 2.28-2.31
C  0.5000  0.0000  0.5000  2 Ta 2.14, 4 Hf 2.31
C  0.8320  0.3340  0.5000  2 Ta 2.17, 4 Hf 2.28-2.31
Cu  0.6896  0.5847  0.2496  2 Cu 2.64, 2 Ta 2.72-2.73, 4 Hf 2.85-2.88
Cu  0.1400  0.8600  0.2500  2 Cu 2.64, 2 Ta 2.72, 4 Hf 2.84
Cu  0.4153  0.3104  0.2504  2 Cu 2.64, 2 Ta 2.72-2.73, 4 Hf 2.85-2.88
Cu  0.5847  0.6896  0.7496  2 Cu 2.64, 2 Ta 2.72-2.73, 4 Hf 2.85-2.88
Cu  0.8600  0.1400  0.7500  2 Cu 2.64, 2 Ta 2.72, 4 Hf 2.84
Cu  0.3104  0.4153  0.7504  2 Cu 2.64, 2 Ta 2.72-2.73, 4 Hf 2.85-2.88
Hf  0.6999  0.8721  0.1009  3 C 2.28-2.31
Hf  0.0381  0.1958  0.1010  3 C 2.28-2.31
Hf  0.8042  0.9619  0.3990  3 C 2.28-2.31
Hf  0.1279  0.3001  0.3991  3 C 2.28-2.31
Hf  0.8721  0.6999  0.6009  3 C 2.28-2.31
Hf  0.1958  0.0381  0.6010  3 C 2.28-2.31
Hf  0.9619  0.8042  0.8990  3 C 2.28-2.31
Hf  0.3001  0.1279  0.8991  3 C 2.28-2.31
Ta  0.3558  0.5279  0.0826  3 C 2.14-2.17
Ta  0.4721  0.6442  0.4174  3 C 2.14-2.17
Ta  0.5279  0.3558  0.5826  3 C 2.14-2.17
Ta  0.6442  0.4721  0.9174  3 C 2.14-2.17

Summary:
- DFT total energy: -214.861 eV for the cell shown
- Symmetry: C2/c
- Theoretical density: 12.031 Mg/m³

Record 4
Below is Tm4TlTc after structural relaxation, with properties calculated at the PBE-GGA level.

Cell lengths 7.6960, 7.6960, 6.1598 Å; angles 99.44, 99.44, 111.84 degrees
Closest atoms and distances in Å follow each position.
Positions (direct):
Tc  0.9994  0.0006  0.2500  8 Tm 2.77-2.93, 2 Tc 3.08
Tc  0.0006  0.9994  0.7500  8 Tm 2.77-2.93, 2 Tc 3.08
Tl  0.3746  0.6254  0.2500  8 Tm 3.18-3.39
Tl  0.6254  0.3746  0.7500  8 Tm 3.18-3.39
Tm  0.9379  0.2751  0.0471  2 Tc 2.77-2.80
Tm  0.3528  0.1971  0.1075  2 Tc 2.90-2.93, 1 Tl 3.20
Tm  0.8029  0.6472  0.3925  2 Tc 2.90-2.93, 1 Tl 3.20
Tm  0.7249  0.0621  0.4529  2 Tc 2.77-2.80
Tm  0.2751  0.9379  0.5471  2 Tc 2.77-2.80
Tm  0.1971  0.3528  0.6075  2 Tc 2.90-2.93, 1 Tl 3.20
Tm  0.6472  0.8029  0.8925  2 Tc 2.90-2.93, 1 Tl 3.20
Tm  0.0621  0.7249  0.9529  2 Tc 2.77-2.80

Summary:
- DFT total energy: -64.091 eV for the cell shown
- Symmetry: C2/c
- Theoretical density: 10.032 Mg/m³

Record 5
Below is Co17As after structural relaxation, with properties calculated at the PBE-GGA level.

Cell lengths 4.9348, 4.9348, 31.1677 Å; angles 90.00, 90.00, 120.00 degrees
Closest atoms and distances in Å follow each position.
Positions (direct):
As  0.6667  0.3333  0.2324  9 Co 2.48-2.66
As  0.3333  0.6667  0.7676  9 Co 2.48-2.66
Co  0.1666  0.3333  0.2406  7 Co 2.44-2.47, 2 As 2.48
Co  0.1666  0.8334  0.2406  7 Co 2.44-2.47, 2 As 2.48
Co  0.6667  0.8334  0.2406  7 Co 2.44-2.47, 2 As 2.48
Co  0.0015  0.5007  0.3043  11 Co 2.44-2.50, 1 As 2.66
Co  0.4993  0.5007  0.3043  11 Co 2.44-2.50, 1 As 2.66
Co  0.4993  0.9985  0.3043  11 Co 2.44-2.50, 1 As 2.66
Co  0.0000  0.0000  0.3054  12 Co 2.47
Co  0.3333  0.6667  0.3683  12 Co 2.45-2.52
Co  0.3337  0.1668  0.3702  12 Co 2.46-2.50
Co  0.8332  0.1668  0.3702  12 Co 2.46-2.50
Co  0.8332  0.6663  0.3702  12 Co 2.46-2.50
Co  0.1667  0.3333  0.4348  12 Co 2.47-2.52
Co  0.1667  0.8333  0.4348  12 Co 2.47-2.52
Co  0.6667  0.8333  0.4348  12 Co 2.47-2.52
Co  0.6667  0.3333  0.4351  12 Co 2.47
Co  0.0000  0.0000  0.5000  12 Co 2.47-2.48
Co  0.5000  0.0000  0.5000  12 Co 2.47-2.48
Co  0.0000  0.5000  0.5000  12 Co 2.47-2.48
Co  0.5000  0.5000  0.5000  12 Co 2.47-2.48
Co  0.3333  0.6667  0.5649  12 Co 2.47
Co  0.3333  0.1667  0.5652  12 Co 2.47-2.52
Co  0.8333  0.1667  0.5652  12 Co 2.47-2.52
Co  0.8333  0.6667  0.5652  12 Co 2.47-2.52
Co  0.1668  0.3337  0.6298  12 Co 2.46-2.50
Co  0.1668  0.8332  0.6298  12 Co 2.46-2.50
Co  0.6663  0.8332  0.6298  12 Co 2.46-2.50
Co  0.6667  0.3333  0.6317  12 Co 2.45-2.52
Co  0.0000  0.0000  0.6946  12 Co 2.47
Co  0.5007  0.0015  0.6957  11 Co 2.44-2.50, 1 As 2.66
Co  0.5007  0.4993  0.6957  11 Co 2.44-2.50, 1 As 2.66
Co  0.9985  0.4993  0.6957  11 Co 2.44-2.50, 1 As 2.66
Co  0.3333  0.1666  0.7594  7 Co 2.44-2.47, 2 As 2.48
Co  0.8334  0.1666  0.7594  7 Co 2.44-2.47, 2 As 2.48
Co  0.8334  0.6667  0.7594  7 Co 2.44-2.47, 2 As 2.48

Summary:
- DFT total energy: -247.414 eV for the cell shown
- Symmetry: P-3m1
- Theoretical density: 5.440 Mg/m³

Record 6
Below is LiGaMoOs after structural relaxation, with properties calculated at the PBE-GGA level.

Cell lengths 4.2712, 4.2712, 4.2712 Å; angles 60.00, 60.00, 60.00 degrees
Closest atoms and distances in Å follow each position.
Positions (direct):
Ga  0.2500  0.2500  0.2500  4 Mo 2.62, 4 Os 2.62
Li  0.7500  0.7500  0.7500  4 Os 2.62, 4 Mo 2.62
Mo  0.0000  0.0000  0.0000  4 Ga 2.62, 4 Li 2.62
Os  0.5000  0.5000  0.5000  4 Li 2.62, 4 Ga 2.62

Summary:
- DFT total energy: -25.581 eV for the cell shown
- Symmetry: F-43m
- Theoretical density: 10.935 Mg/m³

Record 7
Below is ZnO8F2 after structural relaxation, with properties calculated at the PBE-GGA level.

Cell lengths 4.7832, 4.7847, 6.1910 Å; angles 86.08, 87.20, 61.02 degrees
Closest atoms and distances in Å follow each position.
Positions (direct):
F  0.6317  0.7119  0.3902  1 O 1.44
F  0.3683  0.2881  0.6098  1 O 1.44
O  0.3100  0.3409  0.1246  2 O 1.34-1.38
O  0.6111  0.2559  0.1749  1 O 1.34
O  0.2271  0.1096  0.1936  1 O 1.38
O  0.8874  0.4383  0.4984  1 F 1.44, 1 O 1.46
O  0.1126  0.5617  0.5016  1 F 1.44, 1 O 1.46
O  0.7729  0.8904  0.8064  1 O 1.38
O  0.3889  0.7441  0.8251  1 O 1.34
O  0.6900  0.6591  0.8754  2 O 1.34-1.38
Zn  0.0000  0.0000  0.0000  4 O 1.91-1.98

Summary:
- DFT total energy: -42.396 eV for the cell shown
- Symmetry: P-1
- Theoretical density: 3.108 Mg/m³

Record 8
Below is Li3TaO4 after structural relaxation, with properties calculated at the PBE-GGA level.

Cell lengths 5.0141, 12.6140, 5.0505 Å; angles 90.00, 104.04, 90.00 degrees
Closest atoms and distances in Å follow each position.
Positions (direct):
Li  0.5000  0.1534  0.0000  4 O 1.85-2.01
Li  0.5000  0.4077  0.0000  4 O 1.95-2.04
Li  0.0000  0.4983  0.0000  2 O 2.00
Li  0.5000  0.5820  0.0000  4 O 1.86-2.08
Li  0.5000  0.8744  0.0000  6 O 2.01-2.18
Li  0.5000  0.0278  0.5000  4 O 1.94-2.09
Li  0.0000  0.1480  0.5000  2 O 1.86
Li  0.5000  0.2729  0.5000  4 O 1.98-2.20
Li  0.0000  0.4065  0.5000  4 O 1.95-2.06
Li  0.5000  0.4802  0.5000  4 O 1.99-2.16
Li  0.0000  0.5821  0.5000  2 O 1.85
Li  0.5000  0.7066  0.5000  2 O 1.85
O  0.2211  0.8789  0.2252  1 Ta 1.98, 1 Li 2.01
O  0.2390  0.6403  0.2289  1 Ta 1.81, 1 Li 1.85
O  0.2420  0.1102  0.2303  1 Ta 1.86, 2 Li 1.94-2.01
O  0.7723  0.2308  0.2337  2 Li 1.85-1.86, 1 Ta 1.93
O  0.2439  0.3651  0.2405  1 Ta 1.85, 3 Li 1.98-2.06
O  0.7488  0.5012  0.2522  6 Li 1.85-2.00
O  0.7685  0.7680  0.2608  2 Ta 1.97-2.02, 2 Li 2.12-2.16
O  0.7724  0.9865  0.2639  2 Ta 2.00-2.03, 2 Li 2.09-2.18
O  0.2276  0.9865  0.7361  2 Ta 2.00-2.03, 2 Li 2.09-2.18
O  0.2315  0.7680  0.7392  2 Ta 1.97-2.02, 2 Li 2.12-2.16
O  0.2512  0.5012  0.7478  6 Li 1.85-2.00
O  0.7561  0.3651  0.7595  1 Ta 1.85, 3 Li 1.98-2.06
O  0.2277  0.2308  0.7663  2 Li 1.85-1.86, 1 Ta 1.93
O  0.7580  0.1102  0.7697  1 Ta 1.86, 2 Li 1.94-2.01
O  0.7610  0.6403  0.7711  1 Ta 1.81, 1 Li 1.85
O  0.7789  0.8789  0.7748  1 Ta 1.98, 1 Li 2.01
Ta  0.0000  0.0195  0.0000  4 O 1.86-2.00
Ta  0.0000  0.2788  0.0000  4 O 1.85-1.93
Ta  0.0000  0.7269  0.0000  4 O 1.81-2.02
Ta  0.0000  0.8727  0.5000  6 O 1.97-2.03

Summary:
- DFT total energy: -224.489 eV for the cell shown
- Symmetry: P2
- Theoretical density: 5.696 Mg/m³

Record 9
Below is Pr2PdN3 after structural relaxation, with properties calculated at the PBE-GGA level.

Cell lengths 7.0028, 7.0028, 7.0028 Å; angles 150.46, 147.76, 44.29 degrees
Closest atoms and distances in Å follow each position.
Positions (direct):
N  0.1654  0.1654  0.0000  1 Pd 2.15, 1 Pr 2.39
N  0.8346  0.8346  0.0000  1 Pd 2.15, 1 Pr 2.39
N  0.5000  0.0000  0.5000  2 Pd 1.94
Pd  0.0000  0.0000  0.0000  4 N 1.94-2.15
Pr  0.3500  0.3500  0.0000  7 N 2.39-2.65
Pr  0.6500  0.6500  0.0000  7 N 2.39-2.65

Summary:
- DFT total energy: -43.969 eV for the cell shown
- Symmetry: Immm
- Theoretical density: 7.932 Mg/m³

Record 10
Below is Na4ZrO4 after structural relaxation, with properties calculated at the PBE-GGA level.

Cell lengths 5.7107, 5.7107, 5.7107 Å; angles 99.77, 99.77, 131.34 degrees
Closest atoms and distances in Å follow each position.
Positions (direct):
Na  0.8251  0.4026  0.2277  4 O 2.25-2.40
Na  0.5974  0.8251  0.4225  4 O 2.25-2.40
Na  0.4026  0.1749  0.5775  4 O 2.25-2.40
Na  0.1749  0.5974  0.7723  4 O 2.25-2.40
O  0.2611  0.9041  0.1652  1 Zr 2.05, 1 Na 2.25
O  0.0959  0.2611  0.3571  1 Zr 2.05, 1 Na 2.25
O  0.9041  0.7389  0.6429  1 Zr 2.05, 1 Na 2.25
O  0.7389  0.0959  0.8348  1 Zr 2.05, 1 Na 2.25
Zr  0.0000  0.0000  0.0000  4 O 2.05

Summary:
- DFT total energy: -49.096 eV for the cell shown
- Symmetry: I4/m
- Theoretical density: 3.221 Mg/m³

Q: What is the theoretical density in the tenth record?
A: 3.221 Mg/m³